Model one:
# DyHo4Sc | the Alexandria database | PBE-GGA | relaxed
data_DyHo4Sc
_chemical_formula_sum 'Dy2 Ho8 Sc2'
_cell_length_a 6.041
_cell_length_b 10.446
_cell_length_c 6.031
_cell_angle_alpha 90.00
_cell_angle_beta 109.54
_cell_angle_gamma 90.00
_symmetry_space_group_name_H-M 'C 1 2/m 1'
_symmetry_Int_Tables_number 12
_symmetry_space_group_name_Hall '-C 2y'
loop_
_atom_site_label
_atom_site_type_symbol
_atom_site_fract_x
_atom_site_fract_y
_atom_site_fract_z
Dy1 Dy 0.000 0.000 0.000
Ho1 Ho 0.000 0.167 0.500
Ho2 Ho 0.000 0.335 0.000
Sc1 Sc 0.000 0.500 0.500
# crystal system = monoclinic
# Fermi-level density of states = 17.56 states/eV per cell
# ρ = 8.030 Mg/m³

Model two:
# DyHo4Sc | the Alexandria database | PBE-GGA | relaxed
data_DyHo4Sc
_chemical_formula_sum 'Dy2 Ho8 Sc2'
_cell_length_a 9.290
_cell_length_b 5.350
_cell_length_c 9.139
_cell_angle_alpha 90.00
_cell_angle_beta 109.69
_cell_angle_gamma 90.00
_symmetry_space_group_name_H-M 'C 1 2/m 1'
_symmetry_Int_Tables_number 12
_symmetry_space_group_name_Hall '-C 2y'
loop_
_atom_site_label
_atom_site_type_symbol
_atom_site_fract_x
_atom_site_fract_y
_atom_site_fract_z
Dy1 Dy 0.000 0.000 0.000
Ho1 Ho 0.122 0.500 0.865
Ho2 Ho 0.130 0.000 0.389
Sc1 Sc 0.000 0.500 0.500
# crystal system = monoclinic
# Fermi-level density of states = 14.35 states/eV per cell
# ρ = 6.734 Mg/m³

Top of the stability list: model one, leading by 675 meV/atom.

Model one:
# Dy3Ho2Sc3 | the Alexandria database | PBE-GGA | relaxed
data_Dy3Ho2Sc3
_chemical_formula_sum 'Dy6 Ho4 Sc6'
_cell_length_a 4.794
_cell_length_b 4.900
_cell_length_c 19.474
_cell_angle_alpha 90.00
_cell_angle_beta 90.00
_cell_angle_gamma 90.00
_symmetry_space_group_name_H-M 'I m m m'
_symmetry_Int_Tables_number 71
_symmetry_space_group_name_Hall '-I 2 2'
loop_
_atom_site_label
_atom_site_type_symbol
_atom_site_fract_x
_atom_site_fract_y
_atom_site_fract_z
Dy1 Dy 0.000 0.000 0.000
Dy2 Dy 0.000 0.500 0.122
Ho1 Ho 0.000 0.000 0.249
Sc1 Sc 0.000 0.000 0.500
Sc2 Sc 0.000 0.500 0.376
# crystal system = orthorhombic
# Fermi-level density of states = 24.64 states/eV per cell
# ρ = 6.913 Mg/m³

Model two:
# Dy3Ho2Sc3 | the Alexandria database | PBE-GGA | relaxed
data_Dy3Ho2Sc3
_chemical_formula_sum 'Dy6 Ho4 Sc6'
_cell_length_a 22.946
_cell_length_b 3.466
_cell_length_c 5.942
_cell_angle_alpha 90.00
_cell_angle_beta 104.65
_cell_angle_gamma 90.00
_symmetry_space_group_name_H-M 'C 1 2/m 1'
_symmetry_Int_Tables_number 12
_symmetry_space_group_name_Hall '-C 2y'
loop_
_atom_site_label
_atom_site_type_symbol
_atom_site_fract_x
_atom_site_fract_y
_atom_site_fract_z
Dy1 Dy 0.000 0.000 0.000
Dy2 Dy 0.123 0.000 0.464
Ho1 Ho 0.247 0.000 0.244
Sc1 Sc 0.000 0.500 0.500
Sc2 Sc 0.124 0.500 0.959
# crystal system = monoclinic
# Fermi-level density of states = 24.42 states/eV per cell
# ρ = 6.917 Mg/m³

Top of the stability list: model two, leading by 20 meV/atom.

Model one:
# Dy8Ho6Sc | the Alexandria database | PBE-GGA | relaxed
data_Dy8Ho6Sc
_chemical_formula_sum 'Dy8 Ho6 Sc1'
_cell_length_a 9.7621
_cell_length_b 9.7621
_cell_length_c 5.7120
_cell_angle_alpha 90.00
_cell_angle_beta 90.00
_cell_angle_gamma 120.00
_symmetry_space_group_name_H-M 'P -3'
_symmetry_Int_Tables_number 147
_symmetry_space_group_name_Hall '-P 3'
loop_
_atom_site_label
_atom_site_type_symbol
_atom_site_fract_x
_atom_site_fract_y
_atom_site_fract_z
Dy1 Dy 0.0514 0.7803 0.2338
Dy2 Dy 0.3333 0.6667 0.2353
Ho1 Ho 0.0918 0.6212 0.7425
Sc1 Sc 0.0000 0.0000 0.5000
# crystal system = trigonal
# Fermi-level density of states = 24.07 states/eV per cell
# ρ = 8.223 Mg/m³

Model two:
# Dy8Ho6Sc | the Alexandria database | PBE-GGA | relaxed
data_Dy8Ho6Sc
_chemical_formula_sum 'Dy24 Ho18 Sc3'
_cell_length_a 8.9591
_cell_length_b 8.9591
_cell_length_c 20.3555
_cell_angle_alpha 90.00
_cell_angle_beta 90.00
_cell_angle_gamma 120.00
_symmetry_space_group_name_H-M 'R -3'
_symmetry_Int_Tables_number 148
_symmetry_space_group_name_Hall '-R 3'
loop_
_atom_site_label
_atom_site_type_symbol
_atom_site_fract_x
_atom_site_fract_y
_atom_site_fract_z
Dy1 Dy 0.0000 0.0000 0.0768
Dy2 Dy 0.0829 0.5289 0.3074
Ho1 Ho 0.0670 0.8159 0.2069
Sc1 Sc 0.0000 0.0000 0.5000
# crystal system = trigonal
# Fermi-level density of states = 71.25 states/eV per cell
# ρ = 8.219 Mg/m³

Top of the stability list: model two, leading by 24 meV/atom.